Material: TlGaSb2I
Method: DFT, GGA-PBE
State: relaxed

Output
Raw formation energy (meV per atom): 620.5
Energy above the most stable polymorph in this dataset (meV per atom): 381
Total magnetization (μB/atom): 0.224

Unit cell a=5.702 b=5.702 c=6.529 alpha=90.00 beta=90.00 gamma=90.00
Space group P4/mmm (No. 123)
Symmetry-distinct sites (fractional):
1 Tl 0.000 0.000 0.000 [1 per cell]
2 Ga 0.500 0.500 0.500 [1 per cell]
3 Sb 0.000 0.500 0.000 [2 per cell]
4 I 0.000 0.000 0.500 [1 per cell]